(1)
# K3YMg

K3YMg after structural relaxation (PBE, Alexandria via LeMat-Bulk).

a = 7.2713 Å, b = 7.2713 Å, c = 7.2713 Å
α = 90.00°, β = 90.00°, γ = 90.00°
With the nearest neighbours (Å) after each atom.
Sites, in units of the cell vectors:
K (0.0000, 0.0000, 0.5000)  2 Y 3.64
K (0.0000, 0.5000, 0.0000)  2 Y 3.64
K (0.5000, 0.0000, 0.0000)  2 Y 3.64
Y (0.0000, 0.0000, 0.0000)  6 K 3.64
Mg (0.5000, 0.5000, 0.5000)  12 K 5.14

Summary:
Its crystal system is cubic. The calculation puts the polymorph energy (0 for the lowest one) at 228 meV per atom. Its calculated formation energy is 1006 meV/atom. Its symmetry is Pm-3m.

=====

(2)
# Ba3Hg6Pb5

Ba3Hg6Pb5 after structural relaxation (PBE, Alexandria via LeMat-Bulk).

a = 9.8970 Å, b = 9.8970 Å, c = 9.8970 Å
α = 149.53°, β = 110.33°, γ = 77.92°
With the nearest neighbours (Å) after each atom.
Sites, in units of the cell vectors:
Ba (0.0000, 0.0000, 0.0000)  8 Hg 3.91-4.37, 8 Pb 3.91
Ba (0.3134, 0.3134, 0.0000)  6 Hg 3.58-3.63, 6 Pb 3.83-3.87
Ba (0.6866, 0.6866, 0.0000)  6 Hg 3.58-3.63, 6 Pb 3.83-3.87
Hg (0.1386, 0.8550, 0.2835)  4 Pb 3.10-3.31, 2 Hg 3.44
Hg (0.3104, 0.5000, 0.8104)  4 Pb 3.16-3.37, 4 Hg 3.44
Hg (0.4285, 0.1450, 0.2835)  4 Pb 3.10-3.31, 2 Hg 3.44
Hg (0.5715, 0.8550, 0.7165)  4 Pb 3.10-3.31, 2 Hg 3.44
Hg (0.6896, 0.5000, 0.1896)  4 Pb 3.16-3.37, 4 Hg 3.44
Hg (0.8614, 0.1450, 0.7165)  4 Pb 3.10-3.31, 2 Hg 3.44
Pb (0.0242, 0.6609, 0.3633)  1 Pb 3.09, 4 Hg 3.10-3.16
Pb (0.2977, 0.6609, 0.6367)  1 Pb 3.09, 4 Hg 3.10-3.16
Pb (0.5000, 0.0000, 0.5000)  8 Hg 3.31-3.37
Pb (0.7023, 0.3391, 0.3633)  1 Pb 3.09, 4 Hg 3.10-3.16
Pb (0.9758, 0.3391, 0.6367)  1 Pb 3.09, 4 Hg 3.10-3.16

Summary:
Its crystal system is orthorhombic. Its calculated formation energy is -342 meV/atom. Its symmetry is Immm.

=====

(3)
# Zn4Cu6Pd

Zn4Cu6Pd after structural relaxation (PBE, Alexandria via LeMat-Bulk).

a = 7.2549 Å, b = 7.2549 Å, c = 7.2549 Å
α = 139.66°, β = 139.66°, γ = 58.38°
With the nearest neighbours (Å) after each atom.
Sites, in units of the cell vectors:
Zn (0.1309, 0.1309, 0.6038)  5 Cu 2.51-2.70, 1 Pd 2.58, 1 Zn 2.80
Zn (0.4729, 0.8691, 0.0000)  5 Cu 2.51-2.70, 1 Pd 2.58, 1 Zn 2.80
Zn (0.5271, 0.5271, 0.3962)  5 Cu 2.51-2.70, 1 Pd 2.58, 1 Zn 2.80
Zn (0.8691, 0.4729, 0.0000)  5 Cu 2.51-2.70, 1 Pd 2.58, 1 Zn 2.80
Cu (0.0000, 0.5000, 0.5000)  4 Cu 2.47, 2 Pd 2.50
Cu (0.0502, 0.6879, 0.0000)  3 Cu 2.47-2.56, 5 Zn 2.51-2.70
Cu (0.3121, 0.3121, 0.3622)  3 Cu 2.47-2.56, 5 Zn 2.51-2.70
Cu (0.5000, 0.0000, 0.5000)  4 Cu 2.47, 2 Pd 2.50
Cu (0.6879, 0.0502, 0.0000)  3 Cu 2.47-2.56, 5 Zn 2.51-2.70
Cu (0.9498, 0.9498, 0.6378)  3 Cu 2.47-2.56, 5 Zn 2.51-2.70
Pd (0.5000, 0.5000, 0.0000)  8 Cu 2.50-2.80, 4 Zn 2.58

Summary:
Its crystal system is tetragonal. Its calculated formation energy is 49 meV/atom. Its symmetry is I-42m.

=====

(4)
# Cs2CdHgH

Cs2CdHgH after structural relaxation (PBE, Alexandria via LeMat-Bulk).

a = 6.0202 Å, b = 6.0202 Å, c = 5.1439 Å
α = 90.00°, β = 90.00°, γ = 90.00°
With the nearest neighbours (Å) after each atom.
Sites, in units of the cell vectors:
Cs (0.0000, 0.5000, 0.0000)  2 H 3.01
Cs (0.5000, 0.0000, 0.0000)  2 H 3.01
Cd (0.0000, 0.0000, 0.5000)  2 H 2.57
Hg (0.5000, 0.5000, 0.5000)  8 Cs 3.96, 4 Cd 4.26
H (0.0000, 0.0000, 0.0000)  2 Cd 2.57

Summary:
Its crystal system is tetragonal. The calculation puts the polymorph energy (0 for the lowest one) at 0 meV per atom. Its symmetry is P4/mmm.

=====

(5)
# CaLa2Au

CaLa2Au after structural relaxation (PBE, Alexandria via LeMat-Bulk).

a = 10.7355 Å, b = 10.7355 Å, c = 10.7355 Å
α = 21.69°, β = 21.69°, γ = 21.69°
With the nearest neighbours (Å) after each atom.
Sites, in units of the cell vectors:
Ca (0.0000, 0.0000, 0.0000)  6 La 4.00, 6 Ca 4.04
La (0.5633, 0.5633, 0.5633)  3 Au 3.07
La (0.7702, 0.7702, 0.7702)  3 Au 3.06
Au (0.1665, 0.1665, 0.1665)  6 La 3.06-3.07

Summary:
Its crystal system is trigonal. The calculation puts the polymorph energy (0 for the lowest one) at 128 meV per atom. Its calculated formation energy is -251 meV/atom. Its symmetry is R3m.

=====

(6)
# PmIn12Rh4

PmIn12Rh4 after structural relaxation (PBE, Alexandria via LeMat-Bulk).

a = 8.2819 Å, b = 8.2819 Å, c = 8.2819 Å
α = 109.47°, β = 109.47°, γ = 109.47°
With the nearest neighbours (Å) after each atom.
Sites, in units of the cell vectors:
Pm (0.0000, 0.0000, 0.0000)  12 In 3.53
In (0.1631, 0.8332, 0.3299)  2 Rh 2.63
In (0.1668, 0.3299, 0.4967)  2 Rh 2.63
In (0.1668, 0.6701, 0.8369)  2 Rh 2.63
In (0.3299, 0.1631, 0.8332)  2 Rh 2.63
In (0.3299, 0.4967, 0.1668)  2 Rh 2.63
In (0.4967, 0.1668, 0.3299)  2 Rh 2.63
In (0.5033, 0.8332, 0.6701)  2 Rh 2.63
In (0.6701, 0.5033, 0.8332)  2 Rh 2.63
In (0.6701, 0.8369, 0.1668)  2 Rh 2.63
In (0.8332, 0.3299, 0.1631)  2 Rh 2.63
In (0.8332, 0.6701, 0.5033)  2 Rh 2.63
In (0.8369, 0.1668, 0.6701)  2 Rh 2.63
Rh (0.0000, 0.0000, 0.5000)  6 In 2.63
Rh (0.0000, 0.5000, 0.0000)  6 In 2.63
Rh (0.5000, 0.0000, 0.0000)  6 In 2.63
Rh (0.5000, 0.5000, 0.5000)  6 In 2.63

Summary:
Its crystal system is cubic. Its calculated formation energy is -115 meV/atom. Its symmetry is Im-3.

=====

(7)
# K2CaBr

K2CaBr after structural relaxation (PBE, Alexandria via LeMat-Bulk).

a = 7.8099 Å, b = 7.8099 Å, c = 7.8099 Å
α = 140.42°, β = 140.42°, γ = 57.22°
With the nearest neighbours (Å) after each atom.
Sites, in units of the cell vectors:
K (0.0000, 0.0000, 0.0000)  4 Ca 3.74
K (0.7500, 0.2500, 0.5000)  4 Br 3.74
Ca (0.5000, 0.5000, 0.0000)  4 K 3.74
Br (0.2500, 0.7500, 0.5000)  4 K 3.74

Summary:
Its crystal system is tetragonal. The calculation puts the polymorph energy (0 for the lowest one) at 331 meV per atom. Its symmetry is I-4m2. The value obtained for the raw formation energy is -0.4000 eV per atom.

=====

(8)
# LiGeAsRh

LiGeAsRh after structural relaxation (PBE, Alexandria via LeMat-Bulk).

a = 4.3940 Å, b = 4.3940 Å, c = 4.3940 Å
α = 60.00°, β = 60.00°, γ = 60.00°
With the nearest neighbours (Å) after each atom.
Sites, in units of the cell vectors:
Li (0.0000, 0.0000, 0.0000)  4 Ge 2.69, 4 As 2.69
Ge (0.2500, 0.2500, 0.2500)  4 Li 2.69, 4 Rh 2.69
As (0.7500, 0.7500, 0.7500)  4 Rh 2.69, 4 Li 2.69
Rh (0.5000, 0.5000, 0.5000)  4 Ge 2.69, 4 As 2.69

Summary:
Its crystal system is cubic. Its calculated formation energy is -380 meV/atom. Its symmetry is F-43m.

=====

(9)
# Ac3GeRh3

Ac3GeRh3 after structural relaxation (PBE, Alexandria via LeMat-Bulk).

a = 8.8685 Å, b = 8.8685 Å, c = 5.9820 Å
α = 90.00°, β = 90.00°, γ = 120.00°
With the nearest neighbours (Å) after each atom.
Sites, in units of the cell vectors:
Ac (0.0610, 0.3588, 0.2500)  5 Rh 3.00-3.08
Ac (0.2978, 0.9390, 0.2500)  5 Rh 3.00-3.08
Ac (0.3588, 0.2978, 0.7500)  5 Rh 3.00-3.08
Ac (0.6412, 0.7022, 0.2500)  5 Rh 3.00-3.08
Ac (0.7022, 0.0610, 0.7500)  5 Rh 3.00-3.08
Ac (0.9390, 0.6412, 0.7500)  5 Rh 3.00-3.08
Ge (0.3333, 0.6667, 0.7500)  3 Rh 2.43
Ge (0.6667, 0.3333, 0.2500)  3 Rh 2.43
Rh (0.0704, 0.3835, 0.7500)  1 Ge 2.43
Rh (0.3131, 0.9296, 0.7500)  1 Ge 2.43
Rh (0.3835, 0.3131, 0.2500)  1 Ge 2.43
Rh (0.6165, 0.6869, 0.7500)  1 Ge 2.43
Rh (0.6869, 0.0704, 0.2500)  1 Ge 2.43
Rh (0.9296, 0.6165, 0.2500)  1 Ge 2.43

Summary:
Its crystal system is hexagonal. The calculation puts the polymorph energy (0 for the lowest one) at 146 meV per atom. Its calculated formation energy is -571 meV/atom. Its symmetry is P6_3/m.

=====

(10)
# Pm7TeBr12

Pm7TeBr12 after structural relaxation (PBE, Alexandria via LeMat-Bulk).

a = 9.4715 Å, b = 9.4715 Å, c = 9.4715 Å
α = 108.18°, β = 108.18°, γ = 108.18°
With the nearest neighbours (Å) after each atom.
Sites, in units of the cell vectors:
Pm (0.0000, 0.0000, 0.0000)  6 Br 2.97
Pm (0.1595, 0.3769, 0.4539)  1 Te 2.90, 5 Br 3.00-3.04
Pm (0.3769, 0.4539, 0.1595)  1 Te 2.90, 5 Br 3.00-3.04
Pm (0.4539, 0.1595, 0.3769)  1 Te 2.90, 5 Br 3.00-3.04
Pm (0.5461, 0.8405, 0.6231)  1 Te 2.90, 5 Br 3.00-3.04
Pm (0.6231, 0.5461, 0.8405)  1 Te 2.90, 5 Br 3.00-3.04
Pm (0.8405, 0.6231, 0.5461)  1 Te 2.90, 5 Br 3.00-3.04
Te (0.5000, 0.5000, 0.5000)  6 Pm 2.90
Br (0.0212, 0.3386, 0.1047)  3 Pm 2.97-3.01
Br (0.1047, 0.0212, 0.3386)  3 Pm 2.97-3.01
Br (0.1905, 0.7228, 0.5761)  3 Pm 3.00-3.04
Br (0.2772, 0.4239, 0.8095)  3 Pm 3.00-3.04
Br (0.3386, 0.1047, 0.0212)  3 Pm 2.97-3.01
Br (0.4239, 0.8095, 0.2772)  3 Pm 3.00-3.04
Br (0.5761, 0.1905, 0.7228)  3 Pm 3.00-3.04
Br (0.6614, 0.8953, 0.9788)  3 Pm 2.97-3.01
Br (0.7228, 0.5761, 0.1905)  3 Pm 3.00-3.04
Br (0.8095, 0.2772, 0.4239)  3 Pm 3.00-3.04
Br (0.8953, 0.9788, 0.6614)  3 Pm 2.97-3.01
Br (0.9788, 0.6614, 0.8953)  3 Pm 2.97-3.01

Summary:
Its crystal system is trigonal. Its symmetry is R-3. The value obtained for the raw formation energy is -1.6301 eV per atom.

=====

(11)
# BeZnAsIr

BeZnAsIr after structural relaxation (PBE, Alexandria via LeMat-Bulk).

a = 2.8185 Å, b = 6.3043 Å, c = 6.3043 Å
α = 34.16°, β = 90.00°, γ = 90.00°
With the nearest neighbours (Å) after each atom.
Sites, in units of the cell vectors:
Be (0.0000, 0.0000, 0.0000)  4 Ir 2.36, 2 Zn 2.64
Zn (0.0000, 0.6556, 0.6556)  2 As 2.53, 2 Be 2.64, 2 Ir 2.65, 2 Zn 2.82
As (0.0000, 0.2991, 0.2991)  2 Ir 2.49, 2 Zn 2.53
Ir (0.5000, 0.4694, 0.4694)  4 Be 2.36, 2 As 2.49

Summary:
Its crystal system is orthorhombic. The calculation puts the polymorph energy (0 for the lowest one) at 0 meV per atom. Its calculated formation energy is -180 meV/atom. Its symmetry is Amm2.

=====

(12)
# Li2FeW

Li2FeW after structural relaxation (PBE, Alexandria via LeMat-Bulk).

a = 2.5478 Å, b = 2.5478 Å, c = 8.9367 Å
α = 90.00°, β = 90.00°, γ = 90.00°
With the nearest neighbours (Å) after each atom.
Sites, in units of the cell vectors:
Li (0.0000, 0.0000, 0.2387)  4 Li 2.55, 4 Fe 2.79
Li (0.0000, 0.0000, 0.7613)  4 Li 2.55, 4 Fe 2.79
Fe (0.5000, 0.5000, 0.0000)  4 Fe 2.55, 8 Li 2.79
W (0.5000, 0.5000, 0.5000)  4 W 2.55

Summary:
Its crystal system is tetragonal. The calculation puts the polymorph energy (0 for the lowest one) at 242 meV per atom. Its calculated formation energy is 514 meV/atom. Its symmetry is P4/mmm.

=====

Computed DOS(E_F), in the same sequence as the records: 16.18; 5.00; 3.86; 3.14; 6.34; 8.64; 2.24; 3.47; 6.48; 4.86; 1.43; 5.21 states/eV/cell.